# CoHg2PdN, relaxed, DFT PBE
# DOS(E_F) ... 2.09 states/eV/f.u.
data_CoHg2PdN
_chemical_formula_sum 'Co1 Hg2 Pd1 N1'
_cell_length_a 5.136
_cell_length_b 3.356
_cell_length_c 5.136
_cell_angle_alpha 90.00
_cell_angle_beta 90.00
_cell_angle_gamma 90.00
_space_group_name_H-M_alt 'P 1'
_space_group_IT_number 1
loop_
_space_group_symop_operation_xyz
'x,y,z'
loop_
_atom_site_label
_atom_site_fract_x
_atom_site_fract_y
_atom_site_fract_z
Co1 0.000 0.000 0.000
Hg1 0.000 0.000 0.500
Hg2 0.500 0.000 0.000
Pd1 0.500 0.500 0.500
N1 0.000 0.500 0.000

=====

# CoHgPd2N, relaxed, DFT PBE
# DOS(E_F) ... 2.80 states/eV/f.u.
data_CoHgPd2N
_chemical_formula_sum 'Co1 Hg1 Pd2 N1'
_cell_length_a 4.447
_cell_length_b 4.447
_cell_length_c 3.554
_cell_angle_alpha 90.00
_cell_angle_beta 90.00
_cell_angle_gamma 90.00
_space_group_name_H-M_alt 'P 1'
_space_group_IT_number 1
loop_
_space_group_symop_operation_xyz
'x,y,z'
loop_
_atom_site_label
_atom_site_fract_x
_atom_site_fract_y
_atom_site_fract_z
Co1 0.000 0.000 0.500
Hg1 0.500 0.500 0.500
Pd1 0.000 0.500 0.000
Pd2 0.500 0.000 0.000
N1 0.000 0.000 0.000

=====

# CoReHg2N, relaxed, DFT PBE
# DOS(E_F) ... 3.48 states/eV/f.u.
data_CoReHg2N
_chemical_formula_sum 'Co1 Re1 Hg2 N1'
_cell_length_a 5.157
_cell_length_b 3.313
_cell_length_c 5.157
_cell_angle_alpha 90.00
_cell_angle_beta 90.00
_cell_angle_gamma 90.00
_space_group_name_H-M_alt 'P 1'
_space_group_IT_number 1
loop_
_space_group_symop_operation_xyz
'x,y,z'
loop_
_atom_site_label
_atom_site_fract_x
_atom_site_fract_y
_atom_site_fract_z
Re1 0.500 0.500 0.500
Co1 0.000 0.000 0.000
Hg1 0.000 0.000 0.500
Hg2 0.500 0.000 0.000
N1 0.000 0.500 0.000

=====

# CoHgRh2N, relaxed, DFT PBE
# DOS(E_F) ... 5.53 states/eV/f.u.
data_CoHgRh2N
_chemical_formula_sum 'Co1 Hg1 Rh2 N1'
_cell_length_a 4.195
_cell_length_b 4.195
_cell_length_c 3.798
_cell_angle_alpha 90.00
_cell_angle_beta 90.00
_cell_angle_gamma 90.00
_space_group_name_H-M_alt 'P 1'
_space_group_IT_number 1
loop_
_space_group_symop_operation_xyz
'x,y,z'
loop_
_atom_site_label
_atom_site_fract_x
_atom_site_fract_y
_atom_site_fract_z
Co1 0.000 0.000 0.500
Rh1 0.000 0.500 0.000
Rh2 0.500 0.000 0.000
Hg1 0.500 0.500 0.500
N1 0.000 0.000 0.000

=====

# Co2HgRhN, relaxed, DFT PBE
# DOS(E_F) ... 6.09 states/eV/f.u.
data_Co2HgRhN
_chemical_formula_sum 'Co2 Hg1 Rh1 N1'
_cell_length_a 3.889
_cell_length_b 3.889
_cell_length_c 4.161
_cell_angle_alpha 90.00
_cell_angle_beta 90.00
_cell_angle_gamma 90.00
_space_group_name_H-M_alt 'P 1'
_space_group_IT_number 1
loop_
_space_group_symop_operation_xyz
'x,y,z'
loop_
_atom_site_label
_atom_site_fract_x
_atom_site_fract_y
_atom_site_fract_z
Co1 0.000 0.500 0.000
Co2 0.500 0.000 0.000
Rh1 0.000 0.000 0.500
Hg1 0.500 0.500 0.500
N1 0.000 0.000 0.000

=====

# CoHgS2N, relaxed, DFT PBE
# Energy relative to the lowest polymorph listed for this composition ... 1.376 eV per atom
# DOS(E_F) ... 8.85 states/eV/f.u.
data_CoHgS2N
_chemical_formula_sum 'Co1 Hg1 S2 N1'
_cell_length_a 5.087
_cell_length_b 5.087
_cell_length_c 3.986
_cell_angle_alpha 90.00
_cell_angle_beta 90.00
_cell_angle_gamma 90.00
_space_group_name_H-M_alt 'P 1'
_space_group_IT_number 1
loop_
_space_group_symop_operation_xyz
'x,y,z'
loop_
_atom_site_label
_atom_site_fract_x
_atom_site_fract_y
_atom_site_fract_z
S1 0.000 0.500 0.000
S2 0.500 0.000 0.000
Co1 0.500 0.500 0.500
Hg1 0.000 0.000 0.000
N1 0.000 0.000 0.500

=====

no.,final energy (eV per atom),formation energy without anion corrections (kJ per mole of atoms),size of the total moment (μB/cell)
1,-3.865,36.7,0.00
2,-5.115,10.5,0.00
3,-4.523,113.2,2.84
4,-5.920,16.1,1.13
5,-5.875,15.8,2.73
6,-2.921,181.1,2.88